No. 1
Density functional theory data (PBE-GGA) for a relaxed DyClO crystal.

## Properties
Raw total energy (eV/atom): -6.864

a = 3.7711 Å, b = 4.1509 Å, c = 8.3992 Å
α = 90.00°, β = 90.00°, γ = 90.00°
With the nearest neighbours (Å) after each atom.
Positions (direct):
Cl: 0.0000 0.0000 0.1475  2 Dy 2.67
Cl: 0.5000 0.5000 0.8525  2 Dy 2.67
Dy: 0.5000 0.0000 0.3729  4 O 2.23-2.30
Dy: 0.0000 0.5000 0.6271  4 O 2.23-2.30
O: 0.5000 0.5000 0.4696  4 Dy 2.23-2.30
O: 0.0000 0.0000 0.5304  4 Dy 2.23-2.30



No. 2
Density functional theory data (PBE-GGA) for a relaxed Y2Er2Mg crystal.

## Properties
Raw total energy (eV/atom): -4.521

a = 9.0410 Å, b = 9.0410 Å, c = 3.7130 Å
α = 90.00°, β = 90.00°, γ = 90.00°
With the nearest neighbours (Å) after each atom.
Positions (direct):
Er: 0.6302 0.1302 0.0000  6 Y 3.16-3.31, 1 Er 3.33
Er: 0.1302 0.3698 0.0000  6 Y 3.16-3.31, 1 Er 3.33
Er: 0.8698 0.6302 0.0000  6 Y 3.16-3.31, 1 Er 3.33
Er: 0.3698 0.8698 0.0000  6 Y 3.16-3.31, 1 Er 3.33
Mg: 0.0000 0.0000 0.0000  4 Er 3.54, 2 Mg 3.71, 8 Y 3.83
Mg: 0.5000 0.5000 0.0000  4 Er 3.54, 2 Mg 3.71, 8 Y 3.83
Y: 0.3298 0.1702 0.5000  6 Er 3.16-3.31
Y: 0.8298 0.3298 0.5000  6 Er 3.16-3.31
Y: 0.1702 0.6702 0.5000  6 Er 3.16-3.31
Y: 0.6702 0.8298 0.5000  6 Er 3.16-3.31



No. 3
Density functional theory data (PBE-GGA) for a relaxed Ag2Bi2SeSO2 crystal.

## Properties
Raw total energy (eV/atom): -4.539

a = 3.9989 Å, b = 3.9989 Å, c = 9.3358 Å
α = 90.00°, β = 90.00°, γ = 90.00°
With the nearest neighbours (Å) after each atom.
Positions (direct):
Ag: 0.5000 0.0000 0.5088  2 S 2.68, 2 Se 2.80, 4 Ag 2.83
Ag: 0.0000 0.5000 0.5088  2 S 2.68, 2 Se 2.80, 4 Ag 2.83
Bi: 0.0000 0.0000 0.1310  4 O 2.37
Bi: 0.5000 0.5000 0.8625  4 O 2.35
O: 0.5000 0.0000 0.9953  4 Bi 2.35-2.37
O: 0.0000 0.5000 0.9953  4 Bi 2.35-2.37
S: 0.0000 0.0000 0.6996  4 Ag 2.68
Se: 0.5000 0.5000 0.2988  4 Ag 2.80



No. 4
Density functional theory data (PBE-GGA) for a relaxed ZrSiPO crystal.

## Properties
E above lowest polymorph (meV per atom): 467

a = 4.9762 Å, b = 4.9762 Å, c = 4.7133 Å
α = 90.00°, β = 90.00°, γ = 90.00°
With the nearest neighbours (Å) after each atom.
Positions (direct):
O: 0.0000 0.0000 0.0000  2 Zr 2.36, 4 Si 2.57
O: 0.5000 0.5000 0.0000  2 Zr 2.36, 4 Si 2.57
P: 0.5000 0.0000 0.3413  2 Si 2.24-2.47
P: 0.0000 0.5000 0.6587  2 Si 2.24-2.47
Si: 0.0000 0.5000 0.1337  2 P 2.24-2.47
Si: 0.5000 0.0000 0.8663  2 P 2.24-2.47
Zr: 0.0000 0.0000 0.5000  2 O 2.36, 4 P 2.60
Zr: 0.5000 0.5000 0.5000  2 O 2.36, 4 P 2.60



No. 5
Density functional theory data (PBE-GGA) for a relaxed LaGdAl2Ni4 crystal.

## Properties
Raw total energy (eV/atom): -5.466

a = 4.1872 Å, b = 4.1872 Å, c = 9.1724 Å
α = 90.00°, β = 90.00°, γ = 120.00°
With the nearest neighbours (Å) after each atom.
Positions (direct):
Al: 0.6667 0.3333 0.2388  6 Ni 2.46-2.48
Al: 0.6667 0.3333 0.7612  6 Ni 2.46-2.48
Gd: 0.0000 0.0000 0.0000  8 Ni 2.73-2.96
La: 0.3333 0.6667 0.5000  8 Ni 2.87-3.05
Ni: 0.3333 0.6667 0.1870  3 Al 2.46, 3 Ni 2.62
Ni: 0.0000 0.0000 0.2972  3 Al 2.48, 3 Ni 2.62, 1 Gd 2.73
Ni: 0.0000 0.0000 0.7028  3 Al 2.48, 3 Ni 2.62, 1 Gd 2.73
Ni: 0.3333 0.6667 0.8130  3 Al 2.46, 3 Ni 2.62



No. 6
Density functional theory data (PBE-GGA) for a relaxed Y2TmIn3Ni3 crystal.

## Properties
Raw total energy (eV/atom): -5.217

a = 3.7512 Å, b = 7.4441 Å, c = 7.4441 Å
α = 119.82°, β = 90.00°, γ = 90.00°
With the nearest neighbours (Å) after each atom.
Positions (direct):
In: 0.5000 0.2558 0.0021  4 Ni 2.66-2.86
In: 0.5000 0.0021 0.2558  4 Ni 2.66-2.86
In: 0.5000 0.7426 0.7426  4 Ni 2.70-2.79
Ni: 0.0000 0.0022 0.0022  6 In 2.66-2.70
Ni: 0.5000 0.6634 0.3346  3 In 2.79-2.86, 2 Tm 2.91, 4 Y 2.94-2.95
Ni: 0.5000 0.3346 0.6634  3 In 2.79-2.86, 2 Tm 2.91, 4 Y 2.94-2.95
Tm: 0.0000 0.4093 0.4093  5 Ni 2.91-3.04, 6 In 3.12-3.25
Y: 0.0000 0.9998 0.5903  5 Ni 2.94-3.06, 6 In 3.12-3.28
Y: 0.0000 0.5903 0.9998  5 Ni 2.94-3.06, 6 In 3.12-3.28



No. 7
Density functional theory data (PBE-GGA) for a relaxed ReBAu crystal.

## Properties
E above lowest polymorph (meV per atom): 458

a = 4.0835 Å, b = 4.0835 Å, c = 4.0835 Å
α = 60.00°, β = 60.00°, γ = 60.00°
With the nearest neighbours (Å) after each atom.
Positions (direct):
Au: 0.0000 0.0000 0.0000  4 B 2.50, 4 Re 2.50
B: 0.2500 0.2500 0.2500  4 Au 2.50
Re: 0.7500 0.7500 0.7500  4 Au 2.50



No. 8
Density functional theory data (PBE-GGA) for a relaxed DyZrAlCo2 crystal.

## Properties
Raw total energy (eV/atom): -6.620

a = 5.1867 Å, b = 5.1867 Å, c = 5.1867 Å
α = 133.77°, β = 117.77°, γ = 80.93°
With the nearest neighbours (Å) after each atom.
Positions (direct):
Al: 0.0036 0.0036 0.0000  4 Co 2.51
Co: 0.7238 0.4982 0.2256  1 Co 2.42, 2 Al 2.51
Co: 0.2726 0.4982 0.7744  1 Co 2.42, 2 Al 2.51
Dy: 0.7053 0.2053 0.5000  6 Co 2.74-2.88
Zr: 0.2947 0.7947 0.5000  6 Co 2.76-2.86, 2 Al 3.07



No. 9
Density functional theory data (PBE-GGA) for a relaxed LaErH4 crystal.

## Properties
Raw total energy (eV/atom): -4.484

a = 3.7373 Å, b = 3.7373 Å, c = 5.4702 Å
α = 90.00°, β = 90.00°, γ = 90.00°
With the nearest neighbours (Å) after each atom.
Positions (direct):
Er: 0.0000 0.0000 0.5000  8 H 2.23
H: 0.5000 0.0000 0.2777  2 Er 2.23, 2 La 2.41, 1 H 2.43
H: 0.0000 0.5000 0.2777  2 Er 2.23, 2 La 2.41, 1 H 2.43
H: 0.5000 0.0000 0.7223  2 Er 2.23, 2 La 2.41, 1 H 2.43
H: 0.0000 0.5000 0.7223  2 Er 2.23, 2 La 2.41, 1 H 2.43
La: 0.5000 0.5000 0.0000  8 H 2.41



No. 10
Density functional theory data (PBE-GGA) for a relaxed LaZrSn crystal.

## Properties
Raw total energy (eV/atom): -5.954

a = 5.1035 Å, b = 5.1035 Å, c = 5.1035 Å
α = 60.00°, β = 60.00°, γ = 60.00°
With the nearest neighbours (Å) after each atom.
Positions (direct):
La: 0.2500 0.2500 0.2500  4 Sn 3.13
Sn: 0.0000 0.0000 0.0000  4 La 3.13, 4 Zr 3.13
Zr: 0.7500 0.7500 0.7500  4 Sn 3.13



No. 11
Density functional theory data (PBE-GGA) for a relaxed La2AlTlZn2 crystal.

## Properties
Raw total energy (eV/atom): -3.490

a = 4.7421 Å, b = 4.7421 Å, c = 7.7472 Å
α = 90.00°, β = 90.00°, γ = 120.00°
With the nearest neighbours (Å) after each atom.
Positions (direct):
Al: 0.3333 0.6667 0.4656  3 Zn 2.78
La: 0.0000 0.0000 0.2498  6 Zn 3.14-3.48, 3 Al 3.21, 3 Tl 3.51
La: 0.0000 0.0000 0.7400  3 Zn 3.20, 3 Tl 3.25, 3 Al 3.47
Tl: 0.6667 0.3333 0.9665  3 Zn 2.82
Zn: 0.3333 0.6667 0.0519  3 Tl 2.82, 3 La 3.14
Zn: 0.6667 0.3333 0.5262  3 Al 2.78



No. 12
Density functional theory data (PBE-GGA) for a relaxed CsP5Pt3 crystal.

## Properties
Raw total energy (eV/atom): -5.111

a = 5.7521 Å, b = 5.7521 Å, c = 7.6871 Å
α = 90.00°, β = 90.00°, γ = 120.00°
With the nearest neighbours (Å) after each atom.
Positions (direct):
Cs: 0.0000 0.0000 0.0000  14 P 3.84-3.92
P: 0.6667 0.3333 0.2716  3 Pt 2.42
P: 0.3333 0.6667 0.2716  3 Pt 2.42
P: 0.0000 0.0000 0.5000  6 Pt 2.88
P: 0.6667 0.3333 0.7284  3 Pt 2.42
P: 0.3333 0.6667 0.7284  3 Pt 2.42
Pt: 0.5000 0.0000 0.5000  4 P 2.42
Pt: 0.0000 0.5000 0.5000  4 P 2.42
Pt: 0.5000 0.5000 0.5000  4 P 2.42



No. 13
Density functional theory data (PBE-GGA) for a relaxed NaTmCdS3 crystal.

## Properties
E above lowest polymorph (meV per atom): 0

a = 14.1261 Å, b = 3.9851 Å, c = 11.0588 Å
α = 90.00°, β = 90.00°, γ = 90.00°
With the nearest neighbours (Å) after each atom.
Positions (direct):
Cd: 0.0418 0.7500 0.1004  4 S 2.50-2.60
Cd: 0.5418 0.7500 0.3996  4 S 2.50-2.60
Cd: 0.4582 0.2500 0.6004  4 S 2.50-2.60
Cd: 0.9582 0.2500 0.8996  4 S 2.50-2.60
Na: 0.2827 0.2500 0.1926  5 S 2.83-2.95
Na: 0.7827 0.2500 0.3074  5 S 2.83-2.95
Na: 0.2173 0.7500 0.6926  5 S 2.83-2.95
Na: 0.7173 0.7500 0.8074  5 S 2.83-2.95
S: 0.4113 0.7500 0.0838  3 Tm 2.63-2.72
S: 0.9284 0.2500 0.1316  3 Cd 2.58-2.60, 1 Na 2.83
S: 0.6526 0.7500 0.2231  1 Cd 2.50, 2 Tm 2.75
S: 0.1526 0.7500 0.2769  1 Cd 2.50, 2 Tm 2.75
S: 0.4284 0.2500 0.3684  3 Cd 2.58-2.60, 1 Na 2.83
S: 0.9113 0.7500 0.4162  3 Tm 2.63-2.72
S: 0.0887 0.2500 0.5838  3 Tm 2.63-2.72
S: 0.5716 0.7500 0.6316  3 Cd 2.58-2.60, 1 Na 2.83
S: 0.8474 0.2500 0.7231  1 Cd 2.50, 2 Tm 2.75
S: 0.3474 0.2500 0.7769  1 Cd 2.50, 2 Tm 2.75
S: 0.0716 0.7500 0.8684  3 Cd 2.58-2.60, 1 Na 2.83
S: 0.5887 0.2500 0.9162  3 Tm 2.63-2.72
Tm: 0.5336 0.2500 0.1437  6 S 2.63-2.90
Tm: 0.0336 0.2500 0.3563  6 S 2.63-2.90
Tm: 0.9664 0.7500 0.6437  6 S 2.63-2.90
Tm: 0.4664 0.7500 0.8563  6 S 2.63-2.90



No. 14
Density functional theory data (PBE-GGA) for a relaxed Zr2InNi2 crystal.

## Properties
Raw total energy (eV/atom): -6.701

a = 7.2066 Å, b = 7.2066 Å, c = 6.6688 Å
α = 90.00°, β = 90.00°, γ = 90.00°
With the nearest neighbours (Å) after each atom.
Positions (direct):
In: 0.5000 0.0000 0.2500  4 Ni 2.85, 8 Zr 3.14-3.17
In: 0.0000 0.5000 0.2500  4 Ni 2.85, 8 Zr 3.14-3.17
In: 0.5000 0.0000 0.7500  4 Ni 2.85, 8 Zr 3.14-3.17
In: 0.0000 0.5000 0.7500  4 Ni 2.85, 8 Zr 3.14-3.17
Ni: 0.8748 0.1252 0.2335  1 Ni 2.55, 6 Zr 2.67-2.74, 2 In 2.85
Ni: 0.1252 0.8748 0.2335  1 Ni 2.55, 6 Zr 2.67-2.74, 2 In 2.85
Ni: 0.3748 0.3748 0.2665  1 Ni 2.55, 6 Zr 2.67-2.74, 2 In 2.85
Ni: 0.6252 0.6252 0.2665  1 Ni 2.55, 6 Zr 2.67-2.74, 2 In 2.85
Ni: 0.3748 0.3748 0.7335  1 Ni 2.55, 6 Zr 2.67-2.74, 2 In 2.85
Ni: 0.6252 0.6252 0.7335  1 Ni 2.55, 6 Zr 2.67-2.74, 2 In 2.85
Ni: 0.8748 0.1252 0.7665  1 Ni 2.55, 6 Zr 2.67-2.74, 2 In 2.85
Ni: 0.1252 0.8748 0.7665  1 Ni 2.55, 6 Zr 2.67-2.74, 2 In 2.85
Zr: 0.1748 0.1748 0.0000  6 Ni 2.69-2.70
Zr: 0.6619 0.3381 0.0000  6 Ni 2.67-2.74
Zr: 0.3381 0.6619 0.0000  6 Ni 2.67-2.74
Zr: 0.8252 0.8252 0.0000  6 Ni 2.69-2.70
Zr: 0.1619 0.1619 0.5000  6 Ni 2.67-2.74
Zr: 0.6748 0.3252 0.5000  6 Ni 2.69-2.70
Zr: 0.3252 0.6748 0.5000  6 Ni 2.69-2.70
Zr: 0.8381 0.8381 0.5000  6 Ni 2.67-2.74